# 1
{
  "formula": "LiMgRu2",
  "functional": "PBE-GGA",
  "state": "relaxed",
  "lattice": [[2.739, 0.001, 0.000], [-1.231, 2.447, 0.000], [0.000, 0.000, 9.334]],
  "species": ["Ru", "Ru", "Li", "Mg"],
  "fractional_positions": [[0.000, 0.000, 0.013], [0.500, 0.500, 0.242], [0.000, 0.000, 0.481], [0.500, 0.500, 0.765]],
  "e_tot_ev_per_atom": -5.2282,
  "density_g_cm3": 6.19,
  "delta_e_f_ev_per_atom": 0.2868,
  "dos_at_fermi_per_ev_cell": 4.1,
  "sg": "Cmm2 (35)"
}


# 2
{
  "formula": "LiMgRu2",
  "functional": "PBE-GGA",
  "state": "relaxed",
  "lattice": [[5.190, 0.000, 0.001], [2.496, 4.550, -0.001], [-3.321, -3.157, 2.437]],
  "species": ["Mg", "Ru", "Ru", "Li"],
  "fractional_positions": [[0.250, 0.750, 0.500], [0.996, 0.996, 0.000], [0.504, 0.504, 0.000], [0.750, 0.250, 0.500]],
  "e_tot_ev_per_atom": -5.3688,
  "density_g_cm3": 6.73,
  "delta_e_f_ev_per_atom": 0.1462,
  "dos_at_fermi_per_ev_cell": 3.7,
  "sg": "Immm (71)"
}